Record 1
First-principles (GGA-PBE) data for a relaxed structure of TbPrCo2, as listed in Alexandria via LeMat-Bulk.

- Energy relative to the elements: 0.00 eV per atom
- Crystal system: tetragonal

abc: 3.431 3.431 6.857
angles: 90.00 90.00 90.00
Fractional positions:
Tb (0.000, 0.000, 0.000)
Pr (0.000, 0.000, 0.500)
Co (0.500, 0.500, 0.237)
Co (0.500, 0.500, 0.763)

---

Record 2
First-principles (GGA-PBE) data for a relaxed structure of Pm2InSn, as listed in Alexandria via LeMat-Bulk.

- Energy relative to the elements: -0.54 eV per atom
- Crystal system: cubic

abc: 5.455 5.455 5.455
angles: 60.00 60.00 60.00
Fractional positions:
Pm (0.250, 0.250, 0.250)
Pm (0.750, 0.750, 0.750)
In (0.000, 0.000, 0.000)
Sn (0.500, 0.500, 0.500)

---

Record 3
First-principles (GGA-PBE) data for a relaxed structure of Cs2PrPd3F12, as listed in Alexandria via LeMat-Bulk.

- E_form (uncorrected): -2.1789 eV/atom
- Crystal system: trigonal

abc: 7.344 7.344 7.344
angles: 69.05 69.05 69.05
Fractional positions:
Cs (0.118, 0.118, 0.118)
Cs (0.882, 0.882, 0.882)
Pr (0.500, 0.500, 0.500)
Pd (0.000, 0.500, 0.500)
Pd (0.500, 0.000, 0.500)
Pd (0.500, 0.500, 0.000)
F (0.134, 0.618, 0.618)
F (0.234, 0.234, 0.578)
F (0.234, 0.578, 0.234)
F (0.382, 0.382, 0.866)
F (0.382, 0.866, 0.382)
F (0.422, 0.766, 0.766)
F (0.578, 0.234, 0.234)
F (0.618, 0.134, 0.618)
F (0.618, 0.618, 0.134)
F (0.766, 0.422, 0.766)
F (0.766, 0.766, 0.422)
F (0.866, 0.382, 0.382)

---

Record 4
First-principles (GGA-PBE) data for a relaxed structure of BeCd2, as listed in Alexandria via LeMat-Bulk.

- Energy relative to the elements: 0.42 eV per atom
- Crystal system: hexagonal

abc: 4.470 4.470 6.201
angles: 90.00 90.00 120.00
Fractional positions:
Be (0.333, 0.667, 0.250)
Be (0.667, 0.333, 0.750)
Cd (0.000, 0.000, 0.000)
Cd (0.000, 0.000, 0.500)
Cd (0.333, 0.667, 0.750)
Cd (0.667, 0.333, 0.250)

---

Record 5
First-principles (GGA-PBE) data for a relaxed structure of ZrFe2HRh, as listed in Alexandria via LeMat-Bulk.

- Energy: -37.267 eV per cell
- Crystal system: tetragonal

abc: 3.835 3.835 4.082
angles: 90.00 90.00 90.00
Fractional positions:
Zr (0.000, 0.000, 0.000)
Fe (0.000, 0.500, 0.500)
Fe (0.500, 0.000, 0.500)
H (0.500, 0.500, 0.500)
Rh (0.500, 0.500, 0.000)

---

Record 6
First-principles (GGA-PBE) data for a relaxed structure of SrReN3, as listed in Alexandria via LeMat-Bulk.

- E_form (uncorrected): 0.5529 eV/atom
- Crystal system: hexagonal

abc: 4.044 4.044 8.215
angles: 90.00 90.00 120.00
Fractional positions:
Sr (0.333, 0.667, 0.250)
Sr (0.667, 0.333, 0.750)
Re (0.000, 0.000, 0.000)
Re (0.000, 0.000, 0.500)
N (0.000, 0.000, 0.250)
N (0.000, 0.000, 0.750)
N (0.333, 0.667, 0.542)
N (0.333, 0.667, 0.958)
N (0.667, 0.333, 0.042)
N (0.667, 0.333, 0.458)

---

Record 7
First-principles (GGA-PBE) data for a relaxed structure of KSr2ReSi, as listed in Alexandria via LeMat-Bulk.

- E_form (uncorrected): 1.9199 eV/atom
- Crystal system: tetragonal

abc: 5.725 5.725 4.781
angles: 90.00 90.00 90.00
Fractional positions:
K (0.000, 0.000, 0.000)
Sr (0.000, 0.500, 0.000)
Sr (0.500, 0.000, 0.000)
Re (0.000, 0.000, 0.500)
Si (0.500, 0.500, 0.500)

---

Record 8
First-principles (GGA-PBE) data for a relaxed structure of Ni2TeW, as listed in Alexandria via LeMat-Bulk.

- E_form (uncorrected): 0.4329 eV/atom
- Crystal system: orthorhombic

abc: 4.523 4.523 3.112
angles: 90.00 90.00 108.41
Fractional positions:
Ni (0.000, 0.500, 0.000)
Ni (0.500, 0.000, 0.000)
Te (0.000, 0.000, 0.500)
W (0.500, 0.500, 0.500)